Below is TlP2Br after structural relaxation, with properties calculated at the GGA-PBE level.

a = 11.372 Å, b = 3.372 Å, c = 6.682 Å
α = 90.00°, β = 121.27°, γ = 90.00°
Space group Cm (No. 8)
One atom of each set of equivalent atoms:
Tl: 0.000 0.000 0.000 [2 per cell]
P: 0.135 0.500 0.552 [2 per cell]
P: 0.211 0.000 0.805 [2 per cell]
Br: 0.300 0.500 0.415 [2 per cell]

Summary:
Crystal system: monoclinic
Spin magnetization (μB per formula unit): 0.00
Final energy (eV/atom): -3.793

=====

Below is Dy7Ir2Pt2 after structural relaxation, with properties calculated at the GGA-PBE level.

a = 8.527 Å, b = 10.289 Å, c = 6.876 Å
α = 90.00°, β = 90.00°, γ = 90.00°
Space group Cmmm (No. 65)
One atom of each set of equivalent atoms:
Dy: 0.000 0.000 0.000 [2 per cell]
Dy: 0.000 0.500 0.252 [4 per cell]
Dy: 0.250 0.250 0.257 [8 per cell]
Ir: 0.000 0.277 0.000 [4 per cell]
Pt: 0.234 0.000 0.500 [4 per cell]

Summary:
Crystal system: orthorhombic
N(E_F) (states/eV/f.u.): 9.49
Spin magnetization (μB per formula unit): 0.00
DFT formation energy (eV/f.u.): -7.68
Final energy (eV/atom): -6.336

=====

Below is KP2W after structural relaxation, with properties calculated at the GGA-PBE level.

a = 6.555 Å, b = 6.555 Å, c = 6.555 Å
α = 90.00°, β = 90.00°, γ = 90.00°
Space group Fm-3m (No. 225)
One atom of each set of equivalent atoms:
K: 0.000 0.000 0.000 [4 per cell]
P: 0.250 0.250 0.250 [8 per cell]
W: 0.000 0.000 0.500 [4 per cell]

Summary:
Crystal system: cubic
N(E_F) (states/eV/f.u.): 1.81
Spin magnetization (μB per formula unit): 1.78
DFT formation energy (eV/f.u.): 2.87
Final energy (eV/atom): -5.500

=====

Below is LiYBr2 after structural relaxation, with properties calculated at the GGA-PBE level.

a = 3.6736 Å, b = 3.6736 Å, c = 23.8268 Å
α = 90.00°, β = 90.00°, γ = 120.00°
Space group R-3m (No. 166, hexagonal axes)
One atom of each set of equivalent atoms:
Li: 0.0000 0.0000 0.0000 [3 per cell]
Y: 0.0000 0.0000 0.5000 [3 per cell]
Br: 0.0000 0.0000 0.2637 [6 per cell]

Summary:
Crystal system: trigonal
N(E_F) (states/eV/f.u.): 0.90
Spin magnetization (μB per formula unit): 0.00
Final energy (eV/atom): -4.149

=====

Below is Ba2Hg6BiAu after structural relaxation, with properties calculated at the GGA-PBE level.

a = 8.205 Å, b = 9.695 Å, c = 8.014 Å
α = 90.00°, β = 90.00°, γ = 90.00°
Space group Pmmn (No. 59, origin choice 2)
One atom of each set of equivalent atoms:
Ba: 0.250 0.008 0.100 [4 per cell]
Hg: 0.056 0.750 0.792 [4 per cell]
Hg: 0.059 0.250 0.808 [4 per cell]
Hg: 0.250 0.012 0.635 [4 per cell]
Bi: 0.250 0.750 0.422 [2 per cell]
Au: 0.250 0.250 0.402 [2 per cell]

Summary:
Crystal system: orthorhombic
N(E_F) (states/eV/f.u.): 4.32
Spin magnetization (μB per formula unit): 0.00
DFT formation energy (eV/f.u.): -2.95
Final energy (eV/atom): -1.577

=====

Below is Nb2AlWSe after structural relaxation, with properties calculated at the GGA-PBE level.

a = 4.881 Å, b = 4.881 Å, c = 4.844 Å
α = 90.00°, β = 90.00°, γ = 90.00°
Space group P4/mmm (No. 123)
One atom of each set of equivalent atoms:
Nb: 0.000 0.500 0.000 [2 per cell]
Al: 0.000 0.000 0.500 [1 per cell]
W: 0.000 0.000 0.000 [1 per cell]
Se: 0.500 0.500 0.500 [1 per cell]

Summary:
Crystal system: tetragonal
N(E_F) (states/eV/f.u.): 6.15
Spin magnetization (μB per formula unit): 0.00
Final energy (eV/atom): -6.958

=====

Below is Tb6PC2S3 after structural relaxation, with properties calculated at the GGA-PBE level.

a = 16.909 Å, b = 3.820 Å, c = 7.829 Å
α = 90.00°, β = 104.35°, γ = 90.00°
Space group C2/m (No. 12)
One atom of each set of equivalent atoms:
Tb: 0.014 0.000 0.256 [4 per cell]
Tb: 0.169 0.500 0.115 [4 per cell]
Tb: 0.176 0.500 0.564 [4 per cell]
P: 0.000 0.500 0.000 [2 per cell]
C: 0.169 0.000 0.336 [4 per cell]
S: 0.000 0.500 0.500 [2 per cell]
S: 0.164 0.000 0.832 [4 per cell]

Summary:
Crystal system: monoclinic
N(E_F) (states/eV/f.u.): 2.07
Spin magnetization (μB per formula unit): 0.00
Final energy (eV/atom): -6.802

=====

Below is KCrCd after structural relaxation, with properties calculated at the GGA-PBE level.

a = 3.4643 Å, b = 3.4643 Å, c = 8.2447 Å
α = 90.00°, β = 90.00°, γ = 120.00°
Space group P3m1 (No. 156)
One atom of each set of equivalent atoms:
K: 0.0000 0.0000 0.0000 [1 per cell]
Cr: 0.6667 0.3333 0.6310 [1 per cell]
Cd: 0.3333 0.6667 0.3687 [1 per cell]

Summary:
Crystal system: trigonal
N(E_F) (states/eV/f.u.): 1.69
Spin magnetization (μB per formula unit): 4.74
DFT formation energy (eV/f.u.): 2.27
Final energy (eV/atom): -3.123

=====

Below is BaRe2Ge2 after structural relaxation, with properties calculated at the GGA-PBE level.

a = 4.723 Å, b = 4.723 Å, c = 9.662 Å
α = 90.00°, β = 90.00°, γ = 90.00°
Space group I4/mmm (No. 139)
One atom of each set of equivalent atoms:
Ba: 0.000 0.000 0.000 [2 per cell]
Re: 0.000 0.000 0.380 [4 per cell]
Ge: 0.000 0.500 0.250 [4 per cell]

Summary:
Crystal system: tetragonal
N(E_F) (states/eV/f.u.): 3.60
Spin magnetization (μB per formula unit): 0.00
DFT formation energy (eV/f.u.): 0.81
Final energy (eV/atom): -7.048

=====

Below is Th8NiOs2 after structural relaxation, with properties calculated at the GGA-PBE level.

a = 8.123 Å, b = 13.421 Å, c = 6.245 Å
α = 90.00°, β = 114.40°, γ = 90.00°
Space group Cm (No. 8)
One atom of each set of equivalent atoms:
Th: 0.000 0.000 0.000 [2 per cell]
Th: 0.077 0.376 0.808 [4 per cell]
Th: 0.115 0.129 0.575 [4 per cell]
Th: 0.199 0.500 0.372 [2 per cell]
Th: 0.362 0.204 0.190 [4 per cell]
Ni: 0.345 0.000 0.964 [2 per cell]
Os: 0.349 0.301 0.703 [4 per cell]

Summary:
Crystal system: monoclinic
N(E_F) (states/eV/f.u.): 14.18
Spin magnetization (μB per formula unit): 0.00
DFT formation energy (eV/f.u.): -0.75
Final energy (eV/atom): -8.032

=====

Below is ZrScTi after structural relaxation, with properties calculated at the GGA-PBE level.

a = 5.460 Å, b = 3.157 Å, c = 15.030 Å
α = 90.00°, β = 90.02°, γ = 90.00°
Space group C2/m (No. 12)
One atom of each set of equivalent atoms:
Zr: 0.167 0.000 0.234 [4 per cell]
Sc: 0.167 0.000 0.590 [4 per cell]
Ti: 0.167 0.000 0.927 [4 per cell]

Summary:
Crystal system: monoclinic
N(E_F) (states/eV/f.u.): 4.36
Spin magnetization (μB per formula unit): 0.23
DFT formation energy (eV/f.u.): 0.16
Final energy (eV/atom): -7.537

=====

Below is AcTb2Zr after structural relaxation, with properties calculated at the GGA-PBE level.

a = 4.050 Å, b = 4.050 Å, c = 7.921 Å
α = 90.00°, β = 90.00°, γ = 90.00°
Space group P4/mmm (No. 123)
One atom of each set of equivalent atoms:
Ac: 0.000 0.000 0.000 [1 per cell]
Tb: 0.500 0.500 0.296 [2 per cell]
Zr: 0.000 0.000 0.500 [1 per cell]

Summary:
Crystal system: tetragonal
N(E_F) (states/eV/f.u.): 8.95
Spin magnetization (μB per formula unit): 0.00
DFT formation energy (eV/f.u.): 0.75
Final energy (eV/atom): -5.291

=====

What did the second record say?
Below is Dy7Ir2Pt2 after structural relaxation, with properties calculated at the GGA-PBE level.

a = 8.527 Å, b = 10.289 Å, c = 6.876 Å
α = 90.00°, β = 90.00°, γ = 90.00°
Space group Cmmm (No. 65)
One atom of each set of equivalent atoms:
Dy: 0.000 0.000 0.000 [2 per cell]
Dy: 0.000 0.500 0.252 [4 per cell]
Dy: 0.250 0.250 0.257 [8 per cell]
Ir: 0.000 0.277 0.000 [4 per cell]
Pt: 0.234 0.000 0.500 [4 per cell]

Summary:
Crystal system: orthorhombic
N(E_F) (states/eV/f.u.): 9.49
Spin magnetization (μB per formula unit): 0.00
DFT formation energy (eV/f.u.): -7.68
Final energy (eV/atom): -6.336

=====

- The highest spin magnetization belongs to which entry?
  KCrCd